Crystalline La2NClO at its relaxed geometry. Source: Alexandria, functional PBE.

Structure (POSCAR):
```
La2NClO
1.0
6.859 -2.041 0.000
6.859 2.041 0.000
-6.362 0.000 7.963
La N Cl O
4 2 2 2
direct
0.062 0.062 0.307 La
0.329 0.329 0.939 La
0.671 0.671 0.061 La
0.938 0.938 0.693 La
0.137 0.137 0.914 N
0.863 0.863 0.086 N
0.331 0.331 0.391 Cl
0.669 0.669 0.609 Cl
0.437 0.437 0.806 O
0.563 0.563 0.194 O
```

Calculated values
Uncorrected formation energy ... -2431 meV per atom
Space-group type ... C2/m (12)

---

Crystalline RbAcPb at its relaxed geometry. Source: Alexandria, functional PBE.

Structure (POSCAR):
```
RbAcPb
1.0
5.917 0.000 0.000
-2.958 5.124 0.000
0.000 0.000 4.142
Rb Ac Pb
1 1 1
direct
0.000 0.000 0.000 Rb
0.667 0.333 0.421 Ac
0.333 0.667 0.607 Pb
```

Calculated values
Energy above the most stable polymorph in this dataset ... 0.17 eV/f.u.
Space-group type ... P3m1 (156)
ΔE_f ... -0.1 eV per formula unit

---

Crystalline CsLi3Os at its relaxed geometry. Source: Alexandria, functional PBE.

Structure (POSCAR):
```
CsLi3Os
1.0
5.054 0.000 0.000
0.000 5.054 0.000
0.000 0.000 5.054
Cs Li Os
1 3 1
direct
0.000 0.000 0.000 Cs
0.000 0.500 0.500 Li
0.500 0.000 0.500 Li
0.500 0.500 0.000 Li
0.500 0.500 0.500 Os
```

Calculated values
Energy above the most stable polymorph in this dataset ... 0.00 eV/f.u.
Space-group type ... Pm-3m (221)
ΔE_f ... 4.2 eV per formula unit

---

Crystalline Pm6Te3PS2 at its relaxed geometry. Source: Alexandria, functional PBE.

Structure (POSCAR):
```
Pm6Te3PS2
1.0
3.638 -6.301 0.000
3.638 6.301 0.000
-2.430 0.000 7.205
Pm Te P S
6 3 1 2
direct
0.069 0.399 0.208 Pm
0.261 0.261 0.792 Pm
0.399 0.069 0.208 Pm
0.601 0.931 0.792 Pm
0.739 0.739 0.208 Pm
0.931 0.601 0.792 Pm
0.167 0.833 0.500 Te
0.500 0.500 0.500 Te
0.833 0.167 0.500 Te
0.000 0.000 0.000 P
0.333 0.667 0.000 S
0.667 0.333 0.000 S
```

Calculated values
Uncorrected formation energy ... -1696 meV per atom
Space-group type ... C2/m (12)

---

Crystalline Co2WSe at its relaxed geometry. Source: Alexandria, functional PBE.

Structure (POSCAR):
```
Co2WSe
1.0
1.453 0.839 7.885
-1.453 0.839 7.885
0.000 -1.678 7.885
Co W Se
2 1 1
direct
0.000 0.000 0.000 Co
0.259 0.259 0.259 Co
0.504 0.504 0.504 W
0.755 0.755 0.755 Se
```

Calculated values
Uncorrected formation energy ... 431 meV per atom
Space-group type ... R3m (160)

---

Crystalline La2As3Rh5 at its relaxed geometry. Source: Alexandria, functional PBE.

Structure (POSCAR):
```
La2As3Rh5
1.0
2.107 -13.004 0.000
2.107 13.004 0.000
0.000 0.000 6.832
La As Rh
4 6 10
direct
0.015 0.985 0.500 La
0.322 0.678 0.481 La
0.678 0.322 0.981 La
0.985 0.015 0.000 La
0.112 0.888 0.735 As
0.278 0.722 0.926 As
0.439 0.561 0.724 As
0.561 0.439 0.224 As
0.722 0.278 0.426 As
0.888 0.112 0.235 As
0.096 0.904 0.111 Rh
0.202 0.798 0.632 Rh
0.228 0.772 0.234 Rh
0.372 0.628 0.992 Rh
0.434 0.566 0.347 Rh
0.566 0.434 0.847 Rh
0.628 0.372 0.492 Rh
0.772 0.228 0.734 Rh
0.798 0.202 0.132 Rh
0.904 0.096 0.611 Rh
```

Calculated values
Space-group type ... Cmc2_1 (36)
ΔE_f ... -7.6 eV per formula unit

---

Crystalline PrPaBr2 at its relaxed geometry. Source: Alexandria, functional PBE.

Structure (POSCAR):
```
PrPaBr2
1.0
1.782 1.029 10.449
-1.782 1.029 10.449
0.000 -2.058 10.449
Pr Pa Br
1 1 2
direct
0.000 0.000 0.000 Pr
0.500 0.500 0.500 Pa
0.405 0.405 0.405 Br
0.595 0.595 0.595 Br
```

Calculated values
Uncorrected formation energy ... -732 meV per atom
Space-group type ... R-3m (166)

---

Crystalline Er4Si2Hg5 at its relaxed geometry. Source: Alexandria, functional PBE.

Structure (POSCAR):
```
Er4Si2Hg5
1.0
7.622 0.000 0.000
0.000 3.762 0.000
-0.848 0.000 9.010
Er Si Hg
4 2 5
direct
0.187 0.000 0.352 Er
0.234 0.000 0.926 Er
0.766 0.000 0.074 Er
0.813 0.000 0.648 Er
0.067 0.500 0.122 Si
0.933 0.500 0.878 Si
0.152 0.500 0.635 Hg
0.455 0.500 0.169 Hg
0.500 0.500 0.500 Hg
0.545 0.500 0.831 Hg
0.848 0.500 0.365 Hg
```

Calculated values
Uncorrected formation energy ... -453 meV per atom
Space-group type ... P2/m (10)

---

no.,calculated total energy (eV for the cell shown),density of states at the Fermi level (states/eV/atom)
1,-74.3,0.000
2,-8.8,0.017
3,-13.7,0.614
4,-71.9,0.345
5,-28.9,0.985
6,-136.3,0.699
7,-20.5,1.429
8,-35.6,0.503